# PBE+U K2Np3CoO12, optimized geometry
# total magnetic moment: 6.0 μB per cell
# density: 5.7 g/cm3
# E: -8.181 eV per atom
data_K2Np3CoO12
_chemical_formula_sum 'K6 Np9 Co3 O36'
_space_group_name_H-M_alt 'R -3 m'
_space_group_IT_number 166
_space_group_name_Hall '-R 3 2"'
_cell_length_a 7.7909
_cell_length_b 7.7909
_cell_length_c 17.2019
_cell_angle_alpha 90.00
_cell_angle_beta 90.00
_cell_angle_gamma 120.00
loop_
_atom_site_label
_atom_site_fract_x
_atom_site_fract_y
_atom_site_fract_z
_atom_site_occupancy
K1 0.0000 0.0000 0.1340 1
Np1 0.0000 0.5000 0.0000 1
Co1 0.0000 0.0000 0.5000 1
O1 0.0753 0.5377 0.3665 1
O2 0.0988 0.5494 0.1054 1